Computed, not measured: RbAlTe2 after structural relaxation at the PBE level of DFT.

a = 6.3984 Å, b = 6.3984 Å, c = 3.1578 Å
α = 90.00°, β = 90.00°, γ = 90.00°
Closest atoms and distances in Å follow each position.
Space group P4/mmm (No. 123)
Asymmetric unit:
Rb 0.0000 0.0000 0.0000  2 Rb 3.16
Al 0.5000 0.5000 0.0000  2 Al 3.16
Te 0.0000 0.5000 0.5000  2 Te 3.16

Results
Uncorrected formation energy: -0.62 eV per formula unit
Calculated total energy: -11.61 eV per cell
Fermi-level density of states: 1.33 states/eV per cell

Computed, not measured: Tb6Fe2Ge after structural relaxation at the PBE level of DFT.

a = 9.4374 Å, b = 9.5373 Å, c = 9.9039 Å
α = 90.00°, β = 90.00°, γ = 90.00°
Closest atoms and distances in Å follow each position.
Space group Immm (No. 71)
Asymmetric unit:
Tb 0.0000 0.2049 0.2314  1 Fe 2.86, 1 Ge 3.01
Tb 0.2008 0.5000 0.1831  3 Fe 2.80-2.85
Tb 0.2187 0.3159 0.5000  2 Fe 2.92, 1 Ge 3.18
Fe 0.0000 0.3840 0.0000  1 Fe 2.21
Fe 0.0000 0.5000 0.3914  1 Fe 2.15
Ge 0.0000 0.0000 0.0000  8 Tb 3.01-3.18
Ge 0.0000 0.0000 0.5000  12 Tb 3.30-3.65

Results
DFT formation energy: -0.199 eV/atom
Calculated total energy: -204.45 eV per cell
Fermi-level density of states: 36.10 states/eV per cell

Computed, not measured: ScSe2Cl after structural relaxation at the PBE level of DFT.

a = 9.8871 Å, b = 3.6964 Å, c = 6.3497 Å
α = 90.00°, β = 100.74°, γ = 90.00°
Closest atoms and distances in Å follow each position.
Space group Cm (No. 8)
Asymmetric unit:
Sc 0.0000 0.0000 0.0000  2 Cl 2.60, 4 Se 2.70-2.71
Se 0.2957 0.0000 0.9549  1 Se 2.40
Se 0.4372 0.0000 0.6870  1 Se 2.40
Cl 0.1165 0.5000 0.2589  2 Sc 2.60

Results
ΔE to the lowest computed polymorph: 0 meV/atom
Uncorrected formation energy: -5.17 eV per formula unit
Calculated total energy: -40.64 eV per cell